Compound: BaTm2CuO5
Source: Alexandria
Functional: PBE
Structure: relaxed

Cell and atoms, written as POSCAR:
```
BaTm2CuO5
1.0
-3.227 3.227 5.783
3.227 -3.227 5.783
3.227 3.227 -5.783
Ba Tm Cu O
2 4 2 10
Direct
0.250 0.250 0.000 Ba
0.750 0.750 0.000 Ba
0.173 0.673 0.845 Tm
0.327 0.173 0.500 Tm
0.673 0.827 0.500 Tm
0.827 0.327 0.155 Tm
0.250 0.750 0.500 Cu
0.750 0.250 0.500 Cu
0.000 0.000 0.000 O
0.020 0.236 0.500 O
0.236 0.736 0.217 O
0.264 0.480 0.500 O
0.480 0.980 0.217 O
0.500 0.500 0.000 O
0.520 0.020 0.783 O
0.736 0.520 0.500 O
0.764 0.264 0.783 O
0.980 0.764 0.500 O
```

As for the space-group type: I4/mcm (140). As for the raw total energy: -7.07 eV per atom. Its density is 8.5 Mg/m³. Its energy above the most stable polymorph in this dataset is 0.084 eV/atom. The uncorrected formation energy is -2.648 eV/atom.